# LiZrBeAu

A geometry-optimized LiZrBeAu structure (GGA-PBE, OQMD via LeMat-Bulk).

Computed properties:
Energy above the lowest structure with this stoichiometry, meV per atom: 4
Uncorrected energy, eV per atom: -4.60

Lattice parameters (Å, degrees): 4.3451 4.3451 4.3451 60.00 60.00 60.00
Atoms (fractional coordinates):
Li: 0.5000 0.5000 0.5000
Be: 0.0000 0.0000 0.0000
Zr: 0.2500 0.2500 0.2500
Au: 0.7500 0.7500 0.7500